Record 1
The following is a PBE calculation of a geometry-optimized PmAl3Zn2 structure, from Alexandria via LeMat-Bulk.

The space group is P6/mmm (No. 191) and the conventional cell measures 5.5445, 5.5445 and 4.2206 Å, with angles of 90.00, 90.00 and 120.00 degrees. The asymmetric unit holds Pm at (0.0000, 0.0000, 0.0000), Al at (0.0000, 0.5000, 0.5000) and Zn at (0.3333, 0.6667, 0.0000).

For the formation energy, the calculation gives -1.65 eV per formula unit.



Record 2
The following is a PBE calculation of a geometry-optimized WBr structure, from Alexandria via LeMat-Bulk.

The space group is Pmmn (No. 59, origin choice 2) and the conventional cell measures 3.092, 14.130 and 5.600 Å, with angles of 90.00, 90.00 and 90.00 degrees. The asymmetric unit holds W at (0.250, 0.071, 0.038), W at (0.250, 0.750, 0.239), Br at (0.250, 0.250, 0.110) and Br at (0.250, 0.601, 0.570).

Its uncorrected formation energy is 1011 meV/atom.



no.,E_tot (eV/f.u.),E above lowest polymorph (meV per atom)
1,-20.18,0
2,-12.60,929